Density functional theory data (PBE-GGA) for a relaxed structure of HfCo3As.

The structure in POSCAR format:
```
HfCo3As
1.0
4.538 0.000 0.000
0.000 4.538 0.000
0.000 0.000 4.538
Hf Co As
1 3 1
Cartesian
0.000 0.000 0.000 Hf
0.000 0.000 2.269 Co
0.000 2.269 0.000 Co
2.269 0.000 0.000 Co
2.269 2.269 2.269 As
```

Summary:
crystal system: cubic
distance to the lowest polymorph of the same formula: 109.0 kJ/mol of atoms
DFT formation energy: 1406 meV per atom

Density functional theory data (PBE-GGA) for a relaxed structure of Hf12CoAs6.

The structure in POSCAR format:
```
Hf12CoAs6
1.0
5.729 3.308 3.551
-5.729 3.308 3.551
0.000 -6.616 3.551
Hf Co As
12 1 6
Cartesian
-5.268 -1.415 5.723 Hf
-1.408 -5.270 4.930 Hf
-2.121 -0.288 4.095 Hf
-3.860 3.854 4.930 Hf
1.310 -1.693 4.095 Hf
-0.811 -1.981 6.558 Hf
0.811 1.981 4.095 Hf
-1.310 1.693 6.558 Hf
3.860 -3.854 5.723 Hf
2.121 0.288 6.558 Hf
1.408 5.270 5.723 Hf
5.268 1.415 4.930 Hf
0.000 0.000 0.000 Co
-1.097 -2.809 3.900 As
-1.884 2.355 3.900 As
-2.981 -0.455 6.753 As
2.981 0.455 3.900 As
1.884 -2.355 6.753 As
1.097 2.809 6.753 As
```

Summary:
crystal system: trigonal
DFT formation energy: -446 meV per atom

Density functional theory data (PBE-GGA) for a relaxed structure of HfCoAs3.

The structure in POSCAR format:
```
HfCoAs3
1.0
5.081 0.000 0.000
0.000 5.081 0.000
0.000 0.000 5.081
Hf Co As
1 1 3
Cartesian
0.000 0.000 0.000 Hf
2.540 2.540 2.540 Co
0.000 0.000 2.540 As
0.000 2.540 0.000 As
2.540 0.000 0.000 As
```

Summary:
crystal system: cubic
distance to the lowest polymorph of the same formula: 60.0 kJ/mol of atoms
DFT formation energy: 921 meV per atom

Density functional theory data (PBE-GGA) for a relaxed structure of HfCo2As.

The structure in POSCAR format:
```
HfCo2As
1.0
-1.942 1.942 8.270
1.942 -1.942 8.270
1.942 1.942 -8.270
Hf Co As
2 4 2
Cartesian
0.000 0.000 0.000 Hf
0.000 1.942 4.135 Hf
0.971 -0.739 6.202 Co
1.203 0.971 2.067 Co
0.971 2.681 -2.067 Co
0.739 0.971 10.337 Co
1.942 0.000 4.135 As
0.000 0.000 8.270 As
```

Summary:
crystal system: tetragonal
DFT formation energy: -90 meV per atom

Density functional theory data (PBE-GGA) for a relaxed structure of HfCo3As.

The structure in POSCAR format:
```
HfCo3As
1.0
4.270 0.000 0.000
0.000 4.270 0.000
0.000 0.000 4.270
Hf Co As
1 3 1
Cartesian
0.000 0.000 0.000 Hf
0.000 2.135 2.135 Co
2.135 0.000 2.135 Co
2.135 2.135 0.000 Co
2.135 2.135 2.135 As
```

Summary:
crystal system: cubic
distance to the lowest polymorph of the same formula: 0.0 kJ/mol of atoms
DFT formation energy: 276 meV per atom

Density functional theory data (PBE-GGA) for a relaxed structure of HfCo2As.

The structure in POSCAR format:
```
HfCo2As
1.0
0.000 3.024 3.024
3.024 0.000 3.024
3.024 3.024 0.000
Hf Co As
1 2 1
Cartesian
0.000 0.000 0.000 Hf
1.512 1.512 1.512 Co
4.535 4.535 4.535 Co
3.024 3.024 3.024 As
```

Summary:
crystal system: cubic
DFT formation energy: -278 meV per atom

Density functional theory data (PBE-GGA) for a relaxed structure of Hf3CoAs.

The structure in POSCAR format:
```
Hf3CoAs
1.0
4.501 -2.941 0.000
4.501 2.941 0.000
-3.293 0.000 7.046
Hf Co As
6 2 2
Cartesian
-0.659 0.000 1.530 Hf
0.509 0.000 4.649 Hf
2.303 0.000 1.042 Hf
3.407 0.000 6.004 Hf
5.201 0.000 2.397 Hf
6.369 0.000 5.517 Hf
4.501 1.138 0.000 Co
4.501 -1.138 0.000 Co
2.855 1.380 3.523 As
2.855 -1.380 3.523 As
```

Summary:
crystal system: monoclinic
distance to the lowest polymorph of the same formula: 15.1 kJ/mol of atoms
DFT formation energy: -417 meV per atom

Density functional theory data (PBE-GGA) for a relaxed structure of HfCoAs3.

The structure in POSCAR format:
```
HfCoAs3
1.0
4.569 0.000 0.000
0.000 4.569 0.000
0.000 0.000 4.569
Hf Co As
1 1 3
Cartesian
0.000 0.000 0.000 Hf
2.284 2.284 2.284 Co
0.000 2.284 2.284 As
2.284 0.000 2.284 As
2.284 2.284 0.000 As
```

Summary:
crystal system: cubic
distance to the lowest polymorph of the same formula: 0.0 kJ/mol of atoms
DFT formation energy: 300 meV per atom